A plane-wave DFT calculation with PBE was carried out for a relaxed structure of BaZn2Cr.

Results
As for the space group: No. 139. For the formation energy, the calculation gives 0.338 eV/atom.

a = 5.195 Å, b = 5.195 Å, c = 5.195 Å
α = 119.45°, β = 119.45°, γ = 90.96°
Fractional positions:
Ba (0.250, 0.750, 0.500)
Cr (0.750, 0.250, 0.500)
Zn (0.000, 0.000, 0.000)
Zn (0.500, 0.500, 0.000)